(1)
# Ac7AsI12, relaxed, DFT PBE
# Calculated total energy: -4.00 eV/atom
# Volume: 2761.68 Å³/cell
# Formation energy from raw total energies: -2704 kJ/mol of formula units
data_Ac7AsI12
_chemical_formula_sum 'Ac21 As3 I36'
_cell_length_a 16.9278
_cell_length_b 16.9278
_cell_length_c 11.1286
_cell_angle_alpha 90.00
_cell_angle_beta 90.00
_cell_angle_gamma 120.00
_space_group_name_H-M_alt 'R -3'
_space_group_IT_number 148
_space_group_name_Hall '-R 3'
loop_
_atom_site_label
_atom_site_fract_x
_atom_site_fract_y
_atom_site_fract_z
Ac1 0.0000 0.0000 0.0000
Ac2 0.0460 0.1644 0.3443
As1 0.0000 0.0000 0.5000
I1 0.0224 0.5872 0.1659
I2 0.0518 0.1869 0.8410

=====

(2)
# TaFeSe2, relaxed, DFT PBE
# Calculated total energy: -7.01 eV/atom
# Volume: 188.31 Å³/cell
# E above lowest polymorph: 128 kJ/mol of formula units
# Formation energy from raw total energies: -74 kJ/mol of formula units
data_TaFeSe2
_chemical_formula_sum 'Ta2 Fe2 Se4'
_cell_length_a 8.4386
_cell_length_b 3.3959
_cell_length_c 6.6147
_cell_angle_alpha 90.00
_cell_angle_beta 96.57
_cell_angle_gamma 90.00
_space_group_name_H-M_alt 'C 1 m 1'
_space_group_IT_number 8
loop_
_space_group_symop_operation_xyz
'x,y,z'
'x,-y,z'
'x+1/2,y+1/2,z'
'x+1/2,-y+1/2,z'
loop_
_atom_site_label
_atom_site_fract_x
_atom_site_fract_y
_atom_site_fract_z
Ta1 0.0000 0.0000 0.0000
Fe1 0.2173 0.5000 0.0889
Se1 0.0040 0.5000 0.2988
Se2 0.2686 0.0000 0.8178

=====

(3)
# Tl6Hg10Pt, relaxed, DFT PBE
# Calculated total energy: -1.34 eV/atom
# Formation energy from the elements: 0.028 eV/atom
# Volume: 480.78 Å³/cell
data_Tl6Hg10Pt
_chemical_formula_sum 'Tl6 Hg10 Pt1'
_cell_length_a 9.4386
_cell_length_b 9.4386
_cell_length_c 6.2317
_cell_angle_alpha 90.00
_cell_angle_beta 90.00
_cell_angle_gamma 120.00
_space_group_name_H-M_alt 'P -3 1 m'
_space_group_IT_number 162
_space_group_name_Hall '-P 3 2'
loop_
_atom_site_label
_atom_site_fract_x
_atom_site_fract_y
_atom_site_fract_z
Tl1 0.0000 0.3940 0.2547
Hg1 0.0000 0.2327 0.7790
Hg2 0.3333 0.6667 0.0000
Hg3 0.3333 0.6667 0.5000
Pt1 0.0000 0.0000 0.5000

=====

Number 2 is which compound? TaFeSe2

=====

calculated total energy of number 3 (Tl6Hg10Pt)? -1.34 eV/atom